Computed, not measured: a relaxed structure of Ca8TlHg2 at the GGA-PBE level of DFT.

a = 5.8109 Å, b = 8.6082 Å, c = 8.6082 Å
α = 113.19°, β = 98.91°, γ = 98.91°
Closest atoms and distances in Å follow each position.
Atoms (fractional coordinates):
Ca (0.9121, 0.9300, 0.6772)  2 Hg 3.17-3.26
Ca (0.9121, 0.6772, 0.9300)  2 Hg 3.17-3.26
Ca (0.3108, 0.6268, 0.6268)  2 Hg 3.23, 1 Tl 3.40
Ca (0.5000, 0.7673, 0.2327)  2 Hg 3.14, 1 Tl 3.34
Ca (0.5000, 0.2327, 0.7673)  2 Hg 3.14, 1 Tl 3.34
Ca (0.6892, 0.3732, 0.3732)  2 Hg 3.23, 1 Tl 3.40
Ca (0.0879, 0.3228, 0.0700)  2 Hg 3.17-3.26
Ca (0.0879, 0.0700, 0.3228)  2 Hg 3.17-3.26
Tl (0.5000, 0.0000, 0.0000)  4 Ca 3.34-3.40
Hg (0.0000, 0.3164, 0.6836)  8 Ca 3.14-3.26
Hg (0.0000, 0.6836, 0.3164)  8 Ca 3.14-3.26

Results
Density of states at the Fermi level = 8.60 states/eV/cell
SG = No. 12
VASP energy = -1.998 eV per atom
Energy relative to the elements = -26.3 kJ per mole of atoms